A plane-wave DFT calculation with GGA-PBE was carried out for a geometry-optimized RbInPdF6 structure.

Output
The electronic total energy comes out at -39.20 eV for the cell shown.

Cell: 5.6969 6.2211 5.9845 Å, 94.05 92.24 57.40°
Closest atoms and distances in Å follow each position.
Fractional positions:
Rb 0.0491 0.9763 0.0010  6 F 2.79-2.91
In 0.3601 0.3198 0.4998  6 F 2.02-2.21
Pd 0.6735 0.6638 0.5006  4 F 2.01-2.03
F 0.9903 0.3525 0.3394  1 Pd 2.01, 1 In 2.19
F 0.3779 0.9995 0.6555  1 Pd 2.03, 1 In 2.21
F 0.5937 0.3349 0.7560  1 In 2.02
F 0.9946 0.6541 0.6633  1 Pd 2.01, 1 In 2.20
F 0.3757 0.6238 0.3441  1 Pd 2.03, 1 In 2.21
F 0.5850 0.0755 0.2402  1 In 2.02

A plane-wave DFT calculation with GGA-PBE was carried out for a geometry-optimized In2PdRhF structure.

Output
As for the density of states at the Fermi level: 1.25 states/eV/cell. The electronic total energy comes out at -20.77 eV for the cell shown.

Cell: 4.7117 4.1638 4.7117 Å, 90.00 90.00 90.00°
Closest atoms and distances in Å follow each position.
Fractional positions:
F 0.0000 0.0000 0.0000  2 Pd 2.08
Rh 0.5000 0.5000 0.5000  8 In 3.14, 4 Pd 3.33
Pd 0.0000 0.5000 0.0000  2 F 2.08
In 0.0000 0.0000 0.5000  2 F 2.36
In 0.5000 0.0000 0.0000  2 F 2.36

A plane-wave DFT calculation with GGA-PBE was carried out for a geometry-optimized ScInPd2F structure.

Output
As for the density of states at the Fermi level: 2.50 states/eV/cell. The electronic total energy comes out at -25.90 eV for the cell shown.

Cell: 5.0718 3.9067 5.0718 Å, 90.00 90.00 90.00°
Closest atoms and distances in Å follow each position.
Fractional positions:
Sc 0.0000 0.0000 0.0000  2 F 1.95
F 0.0000 0.5000 0.0000  2 Sc 1.95
Pd 0.0000 0.0000 0.5000  2 Sc 2.54
Pd 0.5000 0.0000 0.0000  2 Sc 2.54
In 0.5000 0.5000 0.5000  8 Pd 3.20

A plane-wave DFT calculation with GGA-PBE was carried out for a geometry-optimized Tl2InPdF structure.

Output
As for the density of states at the Fermi level: 0.83 states/eV/cell. The electronic total energy comes out at -17.23 eV for the cell shown.

Cell: 5.3296 5.1891 5.3296 Å, 90.00 90.00 90.00°
Closest atoms and distances in Å follow each position.
Fractional positions:
Tl 0.0000 0.0000 0.5000  2 Pd 2.66
Tl 0.5000 0.0000 0.0000  2 Pd 2.66
F 0.5000 0.5000 0.5000  8 Tl 3.72, 4 In 3.77
Pd 0.0000 0.0000 0.0000  2 In 2.59, 4 Tl 2.66
In 0.0000 0.5000 0.0000  2 Pd 2.59

A plane-wave DFT calculation with GGA-PBE was carried out for a geometry-optimized Tl2InPdF6 structure.

Output
As for the density of states at the Fermi level: 4.75 states/eV/cell. The electronic total energy comes out at -83.95 eV for the cell shown.

Cell: 6.3691 6.5390 8.7064 Å, 90.00 90.00 90.00°
Closest atoms and distances in Å follow each position.
Fractional positions:
Tl 0.5000 0.7504 0.2487  12 F 3.11-3.28
Tl 0.0000 0.2496 0.7487  12 F 3.11-3.28
Tl 0.5000 0.7504 0.7513  12 F 3.11-3.28
Tl 0.0000 0.2496 0.2513  12 F 3.11-3.28
In 0.5000 0.2500 0.5000  6 F 2.11-2.13
In 0.0000 0.7500 0.0000  6 F 2.11-2.13
Pd 0.0000 0.7499 0.5000  6 F 2.22-2.46
Pd 0.5000 0.2501 0.0000  6 F 2.22-2.46
F 0.5000 0.2496 0.2550  1 In 2.13, 1 Pd 2.22
F 0.5000 0.2496 0.7450  1 In 2.13, 1 Pd 2.22
F 0.0000 0.7504 0.2450  1 In 2.13, 1 Pd 2.22
F 0.0000 0.7504 0.7550  1 In 2.13, 1 Pd 2.22
F 0.2641 0.0237 0.5000  1 In 2.11
F 0.7359 0.0237 0.5000  1 In 2.11
F 0.2640 0.4762 0.5000  1 In 2.11
F 0.7360 0.4762 0.5000  1 In 2.11
F 0.7640 0.5238 0.0000  1 In 2.11
F 0.2360 0.5238 0.0000  1 In 2.11
F 0.2359 0.9763 0.0000  1 In 2.11
F 0.7641 0.9763 0.0000  1 In 2.11

A plane-wave DFT calculation with GGA-PBE was carried out for a geometry-optimized TlInPdF6 structure.

Output
The electronic total energy comes out at -38.49 eV for the cell shown.

Cell: 5.7218 6.2554 5.9506 Å, 93.64 91.97 56.99°
Closest atoms and distances in Å follow each position.
Fractional positions:
Tl 0.0211 0.9895 0.0002  4 F 2.62-2.88
In 0.3602 0.3199 0.4999  6 F 2.03-2.20
Pd 0.6736 0.6633 0.5002  4 F 2.02-2.03
F 0.9929 0.3532 0.3374  1 Pd 2.02, 1 In 2.19
F 0.3777 0.0004 0.6535  1 Pd 2.03, 1 In 2.20
F 0.6027 0.3227 0.7563  1 In 2.03
F 0.9939 0.6531 0.6635  1 Pd 2.02, 1 In 2.19
F 0.3772 0.6223 0.3464  1 Pd 2.03, 1 In 2.20
F 0.6005 0.0757 0.2424  1 In 2.03

A plane-wave DFT calculation with GGA-PBE was carried out for a geometry-optimized Tl2In3PdF12 structure.

Output
As for the density of states at the Fermi level: 7.27 states/eV/cell. The electronic total energy comes out at -78.56 eV for the cell shown.

Cell: 7.5701 7.5701 7.5701 Å, 64.53 64.53 64.53°
Closest atoms and distances in Å follow each position.
Fractional positions:
Tl 0.6369 0.6369 0.6369  3 F 2.72
Tl 0.3631 0.3631 0.3631  3 F 2.72
In 0.5000 0.0000 0.0000  6 F 2.07-2.12
In 0.0000 0.5000 0.0000  6 F 2.07-2.12
In 0.0000 0.0000 0.5000  6 F 2.07-2.12
Pd 0.0000 0.0000 0.0000  6 F 2.53
F 0.2959 0.2959 0.9099  2 In 2.12
F 0.8822 0.8822 0.3888  1 In 2.07
F 0.3888 0.8822 0.8822  1 In 2.07
F 0.9099 0.2959 0.2959  2 In 2.12
F 0.8822 0.3888 0.8822  1 In 2.07
F 0.2959 0.9099 0.2959  2 In 2.12
F 0.7041 0.7041 0.0901  2 In 2.12
F 0.1178 0.1178 0.6112  1 In 2.07
F 0.6112 0.1178 0.1178  1 In 2.07
F 0.0901 0.7041 0.7041  2 In 2.12
F 0.1178 0.6112 0.1178  1 In 2.07
F 0.7041 0.0901 0.7041  2 In 2.12

A plane-wave DFT calculation with GGA-PBE was carried out for a geometry-optimized Pm2InF7 structure.

Output
As for the density of states at the Fermi level: 0.00 states/eV/cell. The electronic total energy comes out at -61.21 eV for the cell shown.

Cell: 4.5274 6.9084 6.9084 Å, 115.91 90.00 90.00°
Closest atoms and distances in Å follow each position.
Fractional positions:
Pm 0.5000 0.6939 0.3061  7 F 2.27-2.35
Pm 0.5000 0.3061 0.6939  7 F 2.27-2.35
In 0.0000 0.0000 0.0000  10 F 3.15-3.37
F 0.0000 0.7119 0.2881  2 Pm 2.27
F 0.0000 0.2881 0.7119  2 Pm 2.27
F 0.5000 0.0454 0.3333  2 Pm 2.35
F 0.5000 0.9546 0.6667  2 Pm 2.35
F 0.5000 0.3333 0.0454  2 Pm 2.35
F 0.5000 0.6667 0.9546  2 Pm 2.35
F 0.5000 0.5000 0.5000  2 Pm 2.27

A plane-wave DFT calculation with GGA-PBE was carried out for a geometry-optimized PmInF structure.

Output
As for the density of states at the Fermi level: 3.00 states/eV/cell. The electronic total energy comes out at -14.10 eV for the cell shown.

Cell: 3.3920 3.3920 6.5529 Å, 105.00 105.00 90.00°
Closest atoms and distances in Å follow each position.
Fractional positions:
In 0.0076 0.0076 0.0152  1 F 3.18, 4 In 3.39, 5 Pm 3.46-3.56
Pm 0.7237 0.7237 0.4474  4 F 2.46
F 0.2687 0.2687 0.5374  4 Pm 2.46

A plane-wave DFT calculation with GGA-PBE was carried out for a geometry-optimized PmInF5 structure.

Output
As for the density of states at the Fermi level: 2.76 states/eV/cell. The electronic total energy comes out at -77.90 eV for the cell shown.

Cell: 6.1193 6.1193 7.9067 Å, 72.69 72.69 76.04°
Closest atoms and distances in Å follow each position.
Fractional positions:
Pm 0.5450 0.4550 0.2500  7 F 2.24-2.47
Pm 0.4550 0.5450 0.7500  7 F 2.24-2.47
In 0.0000 0.0000 0.0000  6 F 2.24-2.50
In 0.0000 0.0000 0.5000  6 F 2.24-2.50
F 0.7789 0.7220 0.1326  1 Pm 2.24, 1 In 2.24
F 0.3226 0.6635 0.4641  2 Pm 2.33-2.47, 1 In 2.50
F 0.7220 0.7789 0.6326  1 Pm 2.24, 1 In 2.24
F 0.8592 0.1408 0.2500  2 In 2.24, 1 Pm 2.37
F 0.3365 0.6774 0.0359  2 Pm 2.33-2.47, 1 In 2.50
F 0.6635 0.3226 0.9641  2 Pm 2.33-2.47, 1 In 2.50
F 0.1408 0.8592 0.7500  2 In 2.24, 1 Pm 2.37
F 0.2780 0.2211 0.3674  1 Pm 2.24, 1 In 2.24
F 0.6774 0.3365 0.5359  2 Pm 2.33-2.47, 1 In 2.50
F 0.2211 0.2780 0.8674  1 Pm 2.24, 1 In 2.24

A plane-wave DFT calculation with GGA-PBE was carried out for a geometry-optimized PmIn2F11 structure.

Output
As for the density of states at the Fermi level: 25.78 states/eV/cell. The electronic total energy comes out at -131.74 eV for the cell shown.

Cell: 8.1141 8.5747 8.5747 Å, 73.07 61.76 61.76°
Closest atoms and distances in Å follow each position.
Fractional positions:
Pm 0.7500 0.7500 0.7500  8 F 2.34-2.35
Pm 0.2500 0.2500 0.2500  8 F 2.34-2.35
In 0.6635 0.6920 0.3080  6 F 2.09-2.22
In 0.3365 0.3080 0.6920  6 F 2.09-2.22
In 0.8365 0.1920 0.8080  6 F 2.09-2.22
In 0.1635 0.8080 0.1920  6 F 2.09-2.22
F 0.6515 0.7090 0.5519  1 In 2.09
F 0.3485 0.2910 0.4481  1 In 2.09
F 0.0876 0.5519 0.7090  1 In 2.09
F 0.8485 0.9481 0.7910  1 In 2.09
F 0.9124 0.4481 0.2910  1 In 2.09
F 0.1515 0.0519 0.2090  1 In 2.09
F 0.4124 0.7910 0.9481  1 In 2.09
F 0.5876 0.2090 0.0519  1 In 2.09
F 0.5000 0.5000 0.5000  2 F 2.14, 2 In 2.37
F 0.0000 0.0000 0.0000  2 F 2.14, 2 In 2.37
F 0.8950 0.8074 0.1926  1 F 2.14, 2 In 2.18-2.22
F 0.1050 0.1926 0.8074  1 F 2.14, 2 In 2.18-2.22
F 0.6050 0.3074 0.6926  1 F 2.14, 2 In 2.18-2.22
F 0.3950 0.6926 0.3074  1 F 2.14, 2 In 2.18-2.22
F 0.4675 0.9633 0.3141  1 In 2.11, 1 Pm 2.34
F 0.5325 0.0367 0.6859  1 In 2.11, 1 Pm 2.34
F 0.2552 0.3141 0.9633  1 In 2.11, 1 Pm 2.34
F 0.0325 0.1859 0.5367  1 In 2.11, 1 Pm 2.34
F 0.7448 0.6859 0.0367  1 In 2.11, 1 Pm 2.34
F 0.9675 0.8141 0.4633  1 In 2.11, 1 Pm 2.34
F 0.2448 0.5367 0.1859  1 In 2.11, 1 Pm 2.34
F 0.7552 0.4633 0.8141  1 In 2.11, 1 Pm 2.34